This record from Alexandria via LeMat-Bulk describes a relaxed structure of NaNi2O4. The functional is GGA-PBEsol.

a = 2.8270 Å, b = 8.5604 Å, c = 10.4122 Å
α = 90.00°, β = 90.00°, γ = 90.00°
Site moments in Bohr magnetons follow the coordinates.
Atoms (fractional coordinates):
Na 0.2500 0.7601 0.8358  0.00
Na 0.7500 0.7399 0.3358  0.00
Na 0.2500 0.2601 0.6642  0.00
Na 0.7500 0.2399 0.1642  0.00
Ni 0.2500 0.9373 0.6128  0.20
Ni 0.2500 0.9144 0.0974  0.08
Ni 0.7500 0.5856 0.5974  0.08
Ni 0.7500 0.5627 0.1128  0.20
Ni 0.2500 0.4373 0.8872  0.20
Ni 0.2500 0.4144 0.4026  0.08
Ni 0.7500 0.0856 0.9026  0.08
Ni 0.7500 0.0627 0.3872  0.20
O 0.7500 0.9676 0.2092  0.00
O 0.2500 0.9252 0.4255  0.07
O 0.7500 0.8841 0.9793  0.02
O 0.7500 0.7995 0.6546  0.00
O 0.2500 0.7005 0.1546  0.00
O 0.2500 0.6159 0.4793  0.02
O 0.7500 0.5748 0.9255  0.07
O 0.2500 0.5324 0.7092  0.00
O 0.7500 0.4676 0.2908  0.00
O 0.2500 0.4252 0.0745  0.07
O 0.7500 0.3841 0.5207  0.02
O 0.7500 0.2995 0.8454  0.00
O 0.2500 0.2005 0.3454  0.00
O 0.2500 0.1159 0.0207  0.02
O 0.7500 0.0748 0.5745  0.07
O 0.2500 0.0324 0.7908  0.00

The excess energy over the best structure of this formula in the dataset comes out at 21 meV/atom. Its space group is Pnma (62). The value obtained for the uncorrected formation energy is -1.023 eV/atom.